(w)
CrCS2Cl: relaxed, PBE-GGA.

Results
Magnetic moment = 3.11 μB per formula unit

```
CrCS2Cl
1.0
-1.863 3.983 1.084
-3.673 -2.142 1.560
1.950 -0.245 4.252
Cr S C Cl
1 2 1 1
Direct
0.000 0.000 0.000
0.000 0.500 0.000
0.500 0.000 0.000
0.500 0.500 0.500
0.000 0.000 0.500
```

***

(x)
CrCS2Cl: relaxed, PBE-GGA.

Results
Magnetic moment = 0.19 μB per formula unit

```
CrCS2Cl
1.0
-0.031 -3.144 2.588
3.680 -1.130 -1.328
1.838 2.455 3.005
Cr S C Cl
1 2 1 1
Direct
0.500 0.500 0.500
0.000 0.500 0.000
0.500 0.000 0.000
0.000 0.000 0.000
0.000 0.000 0.500
```

***

Here is how they stack up, most stable first: (w), (x).

***

(w)
CsCCl: relaxed, PBE-GGA.

Results
Magnetic moment = 0.00 μB per formula unit

```
CsCCl
1.0
4.873 0.000 0.000
0.003 4.912 0.001
2.361 0.747 9.480
Cs C Cl
2 2 2
Direct
0.447 0.489 0.371
0.770 0.912 0.734
0.943 0.964 0.377
0.008 0.040 0.248
0.272 0.413 0.730
0.095 0.155 0.078
```

***

(x)
CsCCl: relaxed, PBE-GGA.

Results
Magnetic moment = 0.03 μB per formula unit

```
CsCCl
1.0
-3.086 -1.892 2.666
-3.513 -3.037 -4.389
2.742 -7.384 0.384
Cs C Cl
2 2 2
Direct
0.054 0.742 0.232
0.103 0.223 0.644
0.638 0.874 0.901
0.508 0.623 0.618
0.704 0.260 0.306
0.578 0.740 0.764
```

***

Here is how they stack up, most stable first: (w), (x).

***

(w)
CsCCl: relaxed, PBE-GGA.

Results
Magnetic moment = 0.00 μB per formula unit

```
CsCCl
1.0
-4.483 -1.501 -1.223
0.376 -3.705 3.154
-2.139 7.876 6.064
Cs C Cl
2 2 2
Direct
0.097 0.598 0.625
0.447 0.933 0.272
0.589 0.093 0.621
0.657 0.159 0.749
0.948 0.435 0.275
0.752 0.248 0.920
```

***

(x)
CsCCl: relaxed, PBE-GGA.

Results
Magnetic moment = 0.00 μB per formula unit

```
CsCCl
1.0
11.162 0.000 0.000
0.000 8.411 0.000
-0.038 0.000 4.860
Cs C Cl
4 4 4
Direct
0.305 0.141 0.497
0.695 0.141 0.503
0.305 0.641 0.997
0.695 0.641 0.003
0.143 0.807 0.493
0.857 0.807 0.507
0.143 0.307 0.993
0.857 0.307 0.007
0.500 0.808 0.500
0.500 0.308 0.000
0.000 0.307 0.000
0.000 0.807 0.500
```

***

Here is how they stack up, most stable first: (w), (x).

***

(w)
CsC2Cl: relaxed, PBE-GGA.

Results
Magnetic moment = 0.00 μB per formula unit

```
CsC2Cl
1.0
-0.465 3.526 -2.647
-3.522 1.304 2.356
3.299 7.103 5.171
Cs C Cl
2 4 2
Direct
0.000 0.000 0.000
0.750 0.250 0.500
0.375 0.125 0.250
0.375 0.625 0.250
0.375 0.625 0.750
0.875 0.625 0.750
0.500 0.500 0.000
0.250 0.750 0.500
```

***

(x)
CsC2Cl: relaxed, PBE-GGA.

Results
Magnetic moment = 4.00 μB per formula unit

```
CsC2Cl
1.0
-1.711 -3.264 -3.705
-2.594 -4.336 1.333
-5.118 -0.388 -0.980
Cs C Cl
1 2 1
Direct
0.500 0.500 0.500
0.250 0.250 0.250
0.750 0.750 0.750
0.000 0.000 0.000
```

***

Here is how they stack up, most stable first: (w), (x).

***

(w)
CsPCCl2: relaxed, PBE-GGA.

Results
Magnetic moment = 0.76 μB per formula unit

```
CsPCCl2
1.0
-3.393 0.724 4.927
2.505 -4.905 2.445
2.520 2.006 1.441
Cs P C Cl
1 1 1 2
Direct
0.500 0.500 0.500
0.000 0.000 0.500
0.000 0.000 0.000
0.000 0.500 0.000
0.500 0.000 0.000
```

***

(x)
CsPCCl2: relaxed, PBE-GGA.

Results
Magnetic moment = 5.73 μB per formula unit

```
CsPCCl2
1.0
6.619 0.000 0.000
0.000 6.619 0.000
0.000 0.000 7.927
Cs P C Cl
1 1 1 2
Direct
0.000 0.000 0.000
0.000 0.000 0.500
0.500 0.500 0.500
0.000 0.500 0.000
0.500 0.000 0.000
```

***

Here is how they stack up, most stable first: (w), (x).

***

(w)
CuCCl2: relaxed, PBE-GGA.

Results
Magnetic moment = 0.00 μB per formula unit

```
CuCCl2
1.0
0.000 3.110 3.110
3.110 0.000 3.110
3.110 3.110 0.000
C Cu Cl
1 1 2
Direct
0.000 0.000 0.000
0.500 0.500 0.500
0.250 0.250 0.250
0.750 0.750 0.750
```

***

(x)
CuCCl2: relaxed, PBE-GGA.

Results
Magnetic moment = 1.00 μB per formula unit

```
CuCCl2
1.0
4.919 0.000 0.000
0.000 4.919 0.000
2.460 2.460 6.344
C Cu Cl
2 2 4
Direct
0.500 0.500 0.000
0.250 0.750 0.500
0.000 0.000 0.000
0.750 0.250 0.500
0.620 0.125 0.250
0.130 0.625 0.250
0.375 0.380 0.750
0.875 0.870 0.750
```

***

(y)
CuCCl2: relaxed, PBE-GGA.

Results
Magnetic moment = 0.00 μB per formula unit

```
CuCCl2
1.0
4.762 5.348 5.363
6.100 2.740 5.943
6.945 4.360 3.578
C Cu Cl
1 1 2
Direct
0.000 0.000 0.000
0.500 0.500 0.500
0.939 0.939 0.939
0.061 0.061 0.061
```

***

(z)
CuCCl2: relaxed, PBE-GGA.

Results
Magnetic moment = 1.00 μB per formula unit

```
CuCCl2
1.0
2.262 0.000 6.623
-1.131 1.959 6.623
-1.131 -1.959 6.623
C Cu Cl
1 1 2
Direct
0.500 0.500 0.500
0.000 0.000 0.000
0.894 0.894 0.894
0.106 0.106 0.106
```

***

Here is how they stack up, most stable first: (x), (z), (y), (w).

***

(w)
CuPCCl2: relaxed, PBE-GGA.

Results
Magnetic moment = 0.72 μB per formula unit

```
CuPCCl2
1.0
-3.828 -2.389 -0.961
2.494 -3.868 -0.319
-0.646 -0.791 4.539
P C Cu Cl
1 1 1 2
Direct
0.000 0.000 0.500
0.500 0.500 0.500
0.000 0.000 0.000
0.000 0.500 0.000
0.500 0.000 0.000
```

***

(x)
CuPCCl2: relaxed, PBE-GGA.

Results
Magnetic moment = 0.00 μB per formula unit

```
CuPCCl2
1.0
-2.470 -1.231 4.371
1.159 -4.982 -0.749
2.920 0.414 1.767
P C Cu Cl
1 1 1 2
Direct
0.000 0.000 0.500
0.000 0.000 0.000
0.500 0.500 0.500
0.000 0.500 0.000
0.500 0.000 0.000
```

***

Here is how they stack up, most stable first: (x), (w).

***

(w)
RbCuCCl2: relaxed, PBE-GGA.

Results
Magnetic moment = 0.00 μB per formula unit

```
RbCuCCl2
1.0
5.407 0.000 0.000
0.000 5.407 0.000
0.000 0.000 3.715
C Cu Rb Cl
1 1 1 2
Direct
0.000 0.000 0.500
0.000 0.000 0.000
0.500 0.500 0.500
0.000 0.500 0.000
0.500 0.000 0.000
```

***

(x)
RbCuCCl2: relaxed, PBE-GGA.

Results
Magnetic moment = 1.66 μB per formula unit

```
RbCuCCl2
1.0
5.984 0.000 0.000
0.000 5.764 0.000
0.000 0.000 5.984
C Cu Rb Cl
1 1 1 2
Direct
0.500 0.500 0.500
0.000 0.500 0.000
0.000 0.000 0.000
0.000 0.000 0.500
0.500 0.000 0.000
```

***

Here is how they stack up, most stable first: (w), (x).

***

(w)
TlCuCCl: relaxed, PBE-GGA.

Results
Magnetic moment = 0.00 μB per formula unit

```
TlCuCCl
1.0
-4.072 5.112 -2.411
0.207 -1.423 -3.365
-4.773 -4.640 1.669
Tl C Cu Cl
2 2 2 2
Direct
0.029 0.000 0.078
0.029 0.500 0.578
0.109 0.000 0.410
0.109 0.500 0.910
0.382 0.000 0.452
0.382 0.500 0.952
0.580 0.000 0.968
0.580 0.500 0.468
```

***

(x)
TlCuCCl: relaxed, PBE-GGA.

Results
Magnetic moment = 0.00 μB per formula unit

```
TlCuCCl
1.0
3.721 0.000 0.009
0.000 4.356 0.000
-1.824 0.000 5.911
Tl C Cu Cl
1 1 1 1
Direct
0.524 0.500 0.060
0.660 0.000 0.334
0.138 0.000 0.287
0.813 0.000 0.648
```

***

(y)
TlCuCCl: relaxed, PBE-GGA.

Results
Magnetic moment = 0.00 μB per formula unit

```
TlCuCCl
1.0
4.270 0.000 0.016
0.000 4.000 0.000
-1.648 0.000 5.012
Tl C Cu Cl
1 1 1 1
Direct
0.545 0.500 0.424
0.235 0.000 0.362
0.039 0.000 0.634
0.897 0.000 0.011
```

***

Here is how they stack up, most stable first: (x), (w), (y).

***

(w)
TlCuCCl: relaxed, PBE-GGA.

Results
Magnetic moment = 0.00 μB per formula unit

```
TlCuCCl
1.0
-3.262 0.426 -0.964
0.388 -3.011 -2.646
-1.706 -3.812 4.089
Tl C Cu Cl
1 1 1 1
Direct
0.000 0.000 0.707
0.000 0.500 0.869
0.500 0.500 0.032
0.500 0.000 0.291
```

***

(x)
TlCuCCl: relaxed, PBE-GGA.

Results
Magnetic moment = 0.00 μB per formula unit

```
TlCuCCl
1.0
3.778 0.012 -0.001
-0.011 5.153 -0.022
-1.880 -2.432 4.979
Tl C Cu Cl
1 1 1 1
Direct
0.605 0.549 0.434
0.637 0.080 0.498
0.116 0.061 0.455
0.836 0.264 0.897
```

***

Here is how they stack up, most stable first: (w), (x).

***

(w)
Fe2CCl: relaxed, PBE-GGA.

Results
Magnetic moment = 0.00 μB per formula unit

```
Fe2CCl
1.0
4.603 0.000 0.000
0.000 4.603 0.000
2.302 2.302 4.708
C Fe Cl
2 4 2
Direct
0.500 0.500 0.000
0.250 0.750 0.500
0.554 0.125 0.250
0.196 0.625 0.250
0.375 0.446 0.750
0.875 0.804 0.750
0.000 0.000 0.000
0.750 0.250 0.500
```

***

(x)
Fe2CCl: relaxed, PBE-GGA.

Results
Magnetic moment = 4.44 μB per formula unit

```
Fe2CCl
1.0
0.000 2.793 2.793
2.793 0.000 2.793
2.793 2.793 0.000
C Fe Cl
1 2 1
Direct
0.000 0.000 0.000
0.250 0.250 0.250
0.750 0.750 0.750
0.500 0.500 0.500
```

***

Here is how they stack up, most stable first: (w), (x).

***

(w)
FeC3Cl: relaxed, PBE-GGA.

Results
Magnetic moment = 0.00 μB per formula unit

```
FeC3Cl
1.0
3.786 0.000 0.000
0.000 3.786 0.000
0.000 0.000 3.786
C Fe Cl
3 1 1
Direct
0.000 0.500 0.000
0.000 0.000 0.500
0.500 0.000 0.000
0.000 0.000 0.000
0.500 0.500 0.500
```

***

(x)
FeC3Cl: relaxed, PBE-GGA.

Results
Magnetic moment = 0.00 μB per formula unit

```
FeC3Cl
1.0
-2.857 -1.470 1.565
-1.365 -0.768 -3.213
1.658 -3.166 0.052
C Fe Cl
3 1 1
Direct
0.000 0.500 0.000
0.000 0.000 0.500
0.500 0.000 0.000
0.500 0.500 0.500
0.000 0.000 0.000
```

***

Here is how they stack up, most stable first: (w), (x).